Entry 1:
DFT (PBE) results for crystalline SrAsAu at its relaxed geometry.

a = 7.3870 Å, b = 7.3870 Å, c = 4.4558 Å
α = 90.00°, β = 90.00°, γ = 120.00°
With the nearest neighbours (Å) after each atom.
Fractional coordinates of all 9 atoms:
Au  0.0000  0.2540  0.0000  4 As 2.80-2.91
Au  0.7460  0.7460  0.0000  4 As 2.80-2.91
Au  0.2540  0.0000  0.0000  4 As 2.80-2.91
As  0.6667  0.3333  0.0000  3 Au 2.80
As  0.3333  0.6667  0.0000  3 Au 2.80
As  0.0000  0.0000  0.5000  6 Au 2.91, 3 Sr 3.04
Sr  0.4122  0.4122  0.5000  5 As 3.04-3.15, 2 Au 3.32
Sr  0.0000  0.5878  0.5000  5 As 3.04-3.15, 2 Au 3.32
Sr  0.5878  0.0000  0.5000  5 As 3.04-3.15, 2 Au 3.32

Output
* space-group type: P-62m, No. 189

=====

Entry 2:
DFT (PBE) results for crystalline SrAsAu at its relaxed geometry.

a = 7.6524 Å, b = 7.6524 Å, c = 4.3466 Å
α = 90.00°, β = 90.00°, γ = 120.00°
With the nearest neighbours (Å) after each atom.
Fractional coordinates of all 9 atoms:
As  0.2872  0.0000  0.0000  2 Au 2.74
As  0.7128  0.7128  0.0000  2 Au 2.74
As  0.0000  0.2872  0.0000  2 Au 2.74
Sr  0.3862  0.3862  0.5000  5 Au 2.96-3.22
Sr  0.6138  0.0000  0.5000  5 Au 2.96-3.22
Sr  0.0000  0.6138  0.5000  5 Au 2.96-3.22
Au  0.6667  0.3333  0.0000  3 As 2.74
Au  0.0000  0.0000  0.5000  3 Sr 2.96, 6 As 3.09
Au  0.3333  0.6667  0.0000  3 As 2.74

Output
* space-group type: P-62m, No. 189

=====

Entry 3:
DFT (PBE) results for crystalline SrAsAu at its relaxed geometry.

a = 8.0696 Å, b = 8.0696 Å, c = 3.9832 Å
α = 90.00°, β = 90.00°, γ = 120.00°
With the nearest neighbours (Å) after each atom.
Fractional coordinates of all 9 atoms:
As  0.3333  0.6667  0.0000  3 Sr 2.93, 6 Au 3.20
As  0.6667  0.3333  0.0000  3 Sr 2.93, 6 Au 3.20
As  0.0000  0.0000  0.5000  6 Sr 3.01, 3 Au 3.12
Au  0.6130  0.0000  0.5000  5 As 3.12-3.20, 6 Sr 3.35-3.43
Au  0.3870  0.3870  0.5000  5 As 3.12-3.20, 6 Sr 3.35-3.43
Au  0.0000  0.6130  0.5000  5 As 3.12-3.20, 6 Sr 3.35-3.43
Sr  0.0000  0.2795  0.0000  4 As 2.93-3.01
Sr  0.7205  0.7205  0.0000  4 As 2.93-3.01
Sr  0.2795  0.0000  0.0000  4 As 2.93-3.01

Output
* space-group type: P-62m, No. 189

=====

Entry 4:
DFT (PBE) results for crystalline SrAsAu at its relaxed geometry.

a = 5.2272 Å, b = 5.2272 Å, c = 6.1596 Å
α = 90.00°, β = 90.00°, γ = 120.00°
With the nearest neighbours (Å) after each atom.
Fractional coordinates of all 6 atoms:
As  0.3333  0.6667  0.2500  5 Sr 3.02-3.08
As  0.6667  0.3333  0.7500  5 Sr 3.02-3.08
Sr  0.3333  0.6667  0.7500  5 As 3.02-3.08
Sr  0.6667  0.3333  0.2500  5 As 3.02-3.08
Au  0.0000  0.0000  0.5000  2 Au 3.08, 6 Sr 3.39, 6 As 3.39
Au  0.0000  0.0000  0.0000  2 Au 3.08, 6 As 3.39, 6 Sr 3.39

Output
* space-group type: P6_3/mmc, No. 194

=====

Here are the calculated calculated total energy numbers, same order: -4.00 -3.87 -3.65 -3.68 (eV/atom).